DFT (PBE-GGA) results for a geometry-optimized Hf3MgZn4 structure.

Geometry as POSCAR:
```
Hf3MgZn4
1.0
3.403 0.000 0.000
0.000 4.573 0.000
0.000 0.000 9.213
Zn Hf Mg
4 3 1
Cartesian
0.000 0.000 4.607
0.000 2.286 6.949
0.000 0.000 0.000
0.000 2.286 2.264
1.702 0.000 2.300
1.702 0.000 6.913
1.702 2.286 4.607
1.702 2.286 0.000
```

Computed properties:
- symmetry = Pmmm, No. 47
- VASP energy (eV per atom) = -4.7321
- D(E_F) (states/eV/atom) = 0.487